Arrangement w

A relaxed structure of PdPb3Se. Source: the Alexandria database, functional PBE-GGA.

a = 5.3518 Å, b = 5.3518 Å, c = 5.3518 Å
α = 90.00°, β = 90.00°, γ = 90.00°
Positions (direct):
Pd  0.0000  0.0000  0.0000
Pb  0.0000  0.0000  0.5000
Pb  0.0000  0.5000  0.0000
Pb  0.5000  0.0000  0.0000
Se  0.5000  0.5000  0.5000

Calculated density = 8.74 g cm⁻³


Arrangement x

A relaxed structure of PdPb3Se. Source: the Alexandria database, functional PBE-GGA.

a = 5.6258 Å, b = 5.6258 Å, c = 5.6258 Å
α = 90.00°, β = 90.00°, γ = 90.00°
Positions (direct):
Pd  0.0000  0.0000  0.0000
Pb  0.0000  0.5000  0.5000
Pb  0.5000  0.0000  0.5000
Pb  0.5000  0.5000  0.0000
Se  0.5000  0.5000  0.5000

Calculated density = 7.53 g cm⁻³


Of all the structures shown, which is most stable? arrangement w, and arrangement x is the least stable.